PBE with a Hubbard U CoIrO3, relaxed; energy = -29.05 eV per cell; SG = Pm-3m, No. 221; V = 11.75 Å³/atom
1.0
-3.297 0.497 -1.998
1.052 -2.836 -2.441
-1.770 -2.611 2.271
Co Ir O
1 1 3
Cartesian
0.000 0.000 0.000
-2.007 -2.475 -1.084
-2.533 -1.057 0.137
-0.359 -2.724 -0.085
-1.122 -1.170 -2.219